A plane-wave DFT calculation with PBE was carried out for RuW2 after structural relaxation.

Cell: 5.2087 5.2087 8.3416 Å, 90.00 90.00 120.00°
Space group P6_3/mmc (No. 194)
Symmetry-distinct sites (fractional):
Ru: 0.3333 0.6667 0.0593 x4
W: 0.0000 0.0000 0.0000 x2
W: 0.1699 0.3398 0.7500 x6

Summary:
Energy relative to the lowest polymorph listed for this composition = 464 meV per atom
Energy of formation from the pure elements = 0.50 eV per atom
Size of the total moment = 0.000 μB per formula unit